[1]
PrNbMo: optimized geometry, PBE-GGA.

The structure belongs to space group F-43m (No. 216); the cell edges are 6.6012, 6.6012 and 6.6012 Å and the angles 90.00°, 90.00° and 90.00°. The distinct sites, in fractional coordinates, are Pr at (0.0000, 0.0000, 0.0000), Nb at (0.2500, 0.2500, 0.7500) and Mo at (0.0000, 0.0000, 0.5000).

The energy relative to the elements is 0.93 eV/atom.

=====

[2]
NbMoPt2: optimized geometry, PBE-GGA.

The structure belongs to space group F-43m (No. 216); the cell edges are 6.3632, 6.3632 and 6.3632 Å and the angles 90.00°, 90.00° and 90.00°. The distinct sites, in fractional coordinates, are Nb at (0.0000, 0.0000, 0.0000), Mo at (0.2500, 0.2500, 0.2500), Pt at (0.0000, 0.0000, 0.5000) and Pt at (0.2500, 0.2500, 0.7500).

The energy relative to the elements is -0.17 eV/atom.

=====

[3]
NbMoPt4: optimized geometry, PBE-GGA.

The structure belongs to space group Pmmm (No. 47); the cell edges are 2.7963, 3.9698 and 8.4575 Å and the angles 90.00°, 90.00° and 90.00°. The distinct sites, in fractional coordinates, are Nb at (0.0000, 0.0000, 0.0000), Mo at (0.5000, 0.5000, 0.5000), Pt at (0.0000, 0.0000, 0.3387) and Pt at (0.5000, 0.5000, 0.1663).

The energy relative to the elements is -0.53 eV/atom.

=====

[4]
NbMoPt6: optimized geometry, PBE-GGA.

The structure belongs to space group P-6m2 (No. 187); the cell edges are 5.5796, 5.5796 and 4.6127 Å and the angles 90.00°, 90.00° and 120.00°. The distinct sites, in fractional coordinates, are Nb at (0.0000, 0.0000, 0.0000), Mo at (0.6667, 0.3333, 0.5000), Pt at (0.1644, 0.3288, 0.5000) and Pt at (0.5047, 0.0095, 0.0000).

The energy relative to the elements is -0.43 eV/atom.

=====

[5]
NbMoPt: optimized geometry, PBE-GGA.

The structure belongs to space group F-43m (No. 216); the cell edges are 6.1496, 6.1496 and 6.1496 Å and the angles 90.00°, 90.00° and 90.00°. The distinct sites, in fractional coordinates, are Nb at (0.0000, 0.0000, 0.0000), Mo at (0.0000, 0.0000, 0.5000) and Pt at (0.2500, 0.2500, 0.7500).

The energy relative to the elements is 0.41 eV/atom. For the energy relative to the lowest polymorph listed for this composition, the calculation gives 0 meV/atom.

=====

[6]
PuNbMo: optimized geometry, PBE-GGA.

The structure belongs to space group F-43m (No. 216); the cell edges are 6.2158, 6.2158 and 6.2158 Å and the angles 90.00°, 90.00° and 90.00°. The distinct sites, in fractional coordinates, are Pu at (0.0000, 0.0000, 0.0000), Nb at (0.2500, 0.2500, 0.2500) and Mo at (0.2500, 0.2500, 0.7500).

The energy relative to the elements is 1.10 eV/atom. For the energy relative to the lowest polymorph listed for this composition, the calculation gives 526 meV/atom.

=====

[7]
PuNbMo: optimized geometry, PBE-GGA.

The structure belongs to space group F-43m (No. 216); the cell edges are 6.2882, 6.2882 and 6.2882 Å and the angles 90.00°, 90.00° and 90.00°. The distinct sites, in fractional coordinates, are Pu at (0.0000, 0.0000, 0.0000), Nb at (0.0000, 0.0000, 0.5000) and Mo at (0.2500, 0.2500, 0.7500).

The energy relative to the elements is 0.58 eV/atom. For the energy relative to the lowest polymorph listed for this composition, the calculation gives 0 meV/atom.

=====

[8]
Nb2Re2Mo3: optimized geometry, PBE-GGA.

The structure belongs to space group R3m (No. 160, hexagonal axes); the cell edges are 4.4300, 4.4300 and 21.4707 Å and the angles 90.00°, 90.00° and 120.00°. The distinct sites, in fractional coordinates, are Nb at (0.0000, 0.0000, 0.0000), Nb at (0.0000, 0.0000, 0.4894), Re at (0.0000, 0.0000, 0.2439), Re at (0.0000, 0.0000, 0.7401), Mo at (0.0000, 0.0000, 0.1200), Mo at (0.0000, 0.0000, 0.6201) and Mo at (0.0000, 0.0000, 0.8708).

The energy relative to the elements is 0.28 eV/atom.

=====

[9]
Nb6ReMo: optimized geometry, PBE-GGA.

The structure belongs to space group P4/mmm (No. 123); the cell edges are 4.6064, 4.6064 and 6.5173 Å and the angles 90.00°, 90.00° and 90.00°. The distinct sites, in fractional coordinates, are Nb at (0.0000, 0.0000, 0.0000), Nb at (0.0000, 0.5000, 0.2478), Nb at (0.5000, 0.5000, 0.5000), Re at (0.5000, 0.5000, 0.0000) and Mo at (0.0000, 0.0000, 0.5000).

The energy relative to the elements is -0.12 eV/atom.

=====

[10]
NbReMo6: optimized geometry, PBE-GGA.

The structure belongs to space group P4/mmm (No. 123); the cell edges are 4.4853, 4.4853 and 6.3465 Å and the angles 90.00°, 90.00° and 90.00°. The distinct sites, in fractional coordinates, are Nb at (0.0000, 0.0000, 0.0000), Re at (0.5000, 0.5000, 0.5000), Mo at (0.0000, 0.0000, 0.5000), Mo at (0.0000, 0.5000, 0.2522) and Mo at (0.5000, 0.5000, 0.0000).

The energy relative to the elements is -0.03 eV/atom.

=====

[11]
NbReMo: optimized geometry, PBE-GGA.

The structure belongs to space group F-43m (No. 216); the cell edges are 6.1305, 6.1305 and 6.1305 Å and the angles 90.00°, 90.00° and 90.00°. The distinct sites, in fractional coordinates, are Nb at (0.0000, 0.0000, 0.0000), Re at (0.2500, 0.2500, 0.7500) and Mo at (0.0000, 0.0000, 0.5000).

The energy relative to the elements is 0.55 eV/atom. For the energy relative to the lowest polymorph listed for this composition, the calculation gives 0 meV/atom.

=====

[12]
TaNbReMo: optimized geometry, PBE-GGA.

The structure belongs to space group F-43m (No. 216); the cell edges are 6.4274, 6.4274 and 6.4274 Å and the angles 90.00°, 90.00° and 90.00°. The distinct sites, in fractional coordinates, are Ta at (0.0000, 0.0000, 0.0000), Nb at (0.0000, 0.0000, 0.5000), Re at (0.2500, 0.2500, 0.2500) and Mo at (0.2500, 0.2500, 0.7500).

The energy relative to the elements is -0.28 eV/atom.

=====

[13]
TaNbRe4Mo2: optimized geometry, PBE-GGA.

The structure belongs to space group P-4m2 (No. 115); the cell edges are 4.4776, 4.4776 and 6.3306 Å and the angles 90.00°, 90.00° and 90.00°. The distinct sites, in fractional coordinates, are Ta at (0.0000, 0.0000, 0.0000), Nb at (0.5000, 0.5000, 0.5000), Re at (0.0000, 0.0000, 0.5000), Re at (0.0000, 0.5000, 0.2500), Re at (0.5000, 0.5000, 0.0000) and Mo at (0.0000, 0.5000, 0.7500).

The energy relative to the elements is -0.05 eV/atom.

=====

[14]
Nb2SbMo: optimized geometry, PBE-GGA.

The structure belongs to space group F-43m (No. 216); the cell edges are 6.6083, 6.6083 and 6.6083 Å and the angles 90.00°, 90.00° and 90.00°. The distinct sites, in fractional coordinates, are Nb at (0.0000, 0.0000, 0.0000), Nb at (0.2500, 0.2500, 0.2500), Sb at (0.2500, 0.2500, 0.7500) and Mo at (0.0000, 0.0000, 0.5000).

The total DFT energy (no corrections) comes out at -8.7208 eV/atom.

=====

[15]
NbSb2Mo: optimized geometry, PBE-GGA.

The structure belongs to space group F-43m (No. 216); the cell edges are 6.8360, 6.8360 and 6.8360 Å and the angles 90.00°, 90.00° and 90.00°. The distinct sites, in fractional coordinates, are Nb at (0.0000, 0.0000, 0.0000), Sb at (0.0000, 0.0000, 0.5000), Sb at (0.2500, 0.2500, 0.7500) and Mo at (0.2500, 0.2500, 0.2500).

The total DFT energy (no corrections) comes out at -6.9206 eV/atom.

=====

[16]
ScNb2Mo: optimized geometry, PBE-GGA.

The structure belongs to space group F-43m (No. 216); the cell edges are 6.6143, 6.6143 and 6.6143 Å and the angles 90.00°, 90.00° and 90.00°. The distinct sites, in fractional coordinates, are Sc at (0.0000, 0.0000, 0.0000), Nb at (0.0000, 0.0000, 0.5000), Nb at (0.2500, 0.2500, 0.7500) and Mo at (0.2500, 0.2500, 0.2500).

The energy relative to the elements is 0.16 eV/atom.

=====

[17]
ScNbMo: optimized geometry, PBE-GGA.

The structure belongs to space group F-43m (No. 216); the cell edges are 6.3166, 6.3166 and 6.3166 Å and the angles 90.00°, 90.00° and 90.00°. The distinct sites, in fractional coordinates, are Sc at (0.0000, 0.0000, 0.0000), Nb at (0.0000, 0.0000, 0.5000) and Mo at (0.2500, 0.2500, 0.7500).

The energy relative to the elements is 0.57 eV/atom. For the energy relative to the lowest polymorph listed for this composition, the calculation gives 0 meV/atom.

=====

[18]
ScNbMo2: optimized geometry, PBE-GGA.

The structure belongs to space group F-43m (No. 216); the cell edges are 6.5069, 6.5069 and 6.5069 Å and the angles 90.00°, 90.00° and 90.00°. The distinct sites, in fractional coordinates, are Sc at (0.0000, 0.0000, 0.0000), Nb at (0.2500, 0.2500, 0.2500), Mo at (0.0000, 0.0000, 0.5000) and Mo at (0.2500, 0.2500, 0.7500).

The energy relative to the elements is 0.13 eV/atom.

=====

[19]
NbSi2Mo: optimized geometry, PBE-GGA.

The structure belongs to space group F-43m (No. 216); the cell edges are 6.2275, 6.2275 and 6.2275 Å and the angles 90.00°, 90.00° and 90.00°. The distinct sites, in fractional coordinates, are Nb at (0.0000, 0.0000, 0.0000), Si at (0.0000, 0.0000, 0.5000), Si at (0.2500, 0.2500, 0.7500) and Mo at (0.2500, 0.2500, 0.2500).

The total DFT energy (no corrections) comes out at -7.9082 eV/atom.

=====

[20]
NbSiMo2: optimized geometry, PBE-GGA.

The structure belongs to space group F-43m (No. 216); the cell edges are 6.2897, 6.2897 and 6.2897 Å and the angles 90.00°, 90.00° and 90.00°. The distinct sites, in fractional coordinates, are Nb at (0.0000, 0.0000, 0.0000), Si at (0.2500, 0.2500, 0.7500), Mo at (0.0000, 0.0000, 0.5000) and Mo at (0.2500, 0.2500, 0.2500).

The total DFT energy (no corrections) comes out at -9.3779 eV/atom.

=====

[21]
SmNbMo: optimized geometry, PBE-GGA.

The structure belongs to space group F-43m (No. 216); the cell edges are 6.5413, 6.5413 and 6.5413 Å and the angles 90.00°, 90.00° and 90.00°. The distinct sites, in fractional coordinates, are Sm at (0.0000, 0.0000, 0.0000), Nb at (0.2500, 0.2500, 0.7500) and Mo at (0.0000, 0.0000, 0.5000).

The energy relative to the elements is 0.88 eV/atom. For the energy relative to the lowest polymorph listed for this composition, the calculation gives 0 meV/atom.

=====

[22]
SmNbMo: optimized geometry, PBE-GGA.

The structure belongs to space group F-43m (No. 216); the cell edges are 6.5700, 6.5700 and 6.5700 Å and the angles 90.00°, 90.00° and 90.00°. The distinct sites, in fractional coordinates, are Sm at (0.0000, 0.0000, 0.0000), Nb at (0.2500, 0.2500, 0.2500) and Mo at (0.2500, 0.2500, 0.7500).

The energy relative to the elements is 1.66 eV/atom. For the energy relative to the lowest polymorph listed for this composition, the calculation gives 777 meV/atom.

=====

[23]
NbSnMo2: optimized geometry, PBE-GGA.

The structure belongs to space group F-43m (No. 216); the cell edges are 6.5505, 6.5505 and 6.5505 Å and the angles 90.00°, 90.00° and 90.00°. The distinct sites, in fractional coordinates, are Nb at (0.0000, 0.0000, 0.0000), Sn at (0.2500, 0.2500, 0.7500), Mo at (0.0000, 0.0000, 0.5000) and Mo at (0.2500, 0.2500, 0.2500).

The total DFT energy (no corrections) comes out at -8.7576 eV/atom.

=====

[24]
NbSn3Mo: optimized geometry, PBE-GGA.

The structure belongs to space group P-6c2 (No. 188); the cell edges are 6.4966, 6.4966 and 6.1370 Å and the angles 90.00°, 90.00° and 120.00°. The distinct sites, in fractional coordinates, are Nb at (0.0000, 0.0000, 0.0000), Sn at (0.0512, 0.3966, 0.2500) and Mo at (0.6667, 0.3333, 0.0000).

The total DFT energy (no corrections) comes out at -6.2221 eV/atom.

=====

[25]
Nb2SnMo: optimized geometry, PBE-GGA.

The structure belongs to space group F-43m (No. 216); the cell edges are 6.6239, 6.6239 and 6.6239 Å and the angles 90.00°, 90.00° and 90.00°. The distinct sites, in fractional coordinates, are Nb at (0.0000, 0.0000, 0.0000), Nb at (0.2500, 0.2500, 0.2500), Sn at (0.0000, 0.0000, 0.5000) and Mo at (0.2500, 0.2500, 0.7500).

The total DFT energy (no corrections) comes out at -8.6811 eV/atom.

=====

[26]
Nb3Sn3Mo2: optimized geometry, PBE-GGA.

The structure belongs to space group R-3m (No. 166, hexagonal axes); the cell edges are 5.4577, 5.4577 and 18.6657 Å and the angles 90.00°, 90.00° and 120.00°. The distinct sites, in fractional coordinates, are Nb at (0.0000, 0.0000, 0.0000), Nb at (0.0000, 0.0000, 0.4223), Sn at (0.0000, 0.5000, 0.5000) and Mo at (0.0000, 0.0000, 0.2919).

The total DFT energy (no corrections) comes out at -7.3480 eV/atom.

=====

[27]
Nb2Sn2Mo: optimized geometry, PBE-GGA.

The structure belongs to space group I4/mmm (No. 139); the cell edges are 3.8274, 3.8274 and 14.3936 Å and the angles 90.00°, 90.00° and 90.00°. The distinct sites, in fractional coordinates, are Nb at (0.0000, 0.0000, 0.0918), Sn at (0.0000, 0.5000, 0.2500) and Mo at (0.0000, 0.0000, 0.5000).

The total DFT energy (no corrections) comes out at -7.1215 eV/atom.

=====

[28]
SrNbMo: optimized geometry, PBE-GGA.

The structure belongs to space group F-43m (No. 216); the cell edges are 6.6530, 6.6530 and 6.6530 Å and the angles 90.00°, 90.00° and 90.00°. The distinct sites, in fractional coordinates, are Sr at (0.0000, 0.0000, 0.0000), Nb at (0.0000, 0.0000, 0.5000) and Mo at (0.2500, 0.2500, 0.7500).

For the energy relative to the lowest polymorph listed for this composition, the calculation gives 0 meV/atom.

=====

[29]
SrNb2Mo: optimized geometry, PBE-GGA.

The structure belongs to space group F-43m (No. 216); the cell edges are 6.8897, 6.8897 and 6.8897 Å and the angles 90.00°, 90.00° and 90.00°. The distinct sites, in fractional coordinates, are Sr at (0.0000, 0.0000, 0.0000), Nb at (0.0000, 0.0000, 0.5000), Nb at (0.2500, 0.2500, 0.7500) and Mo at (0.2500, 0.2500, 0.2500).

The total DFT energy (no corrections) comes out at -7.2168 eV/atom.